[1]
The following is a PBE calculation of crystalline Li2LaNiSn2 at its relaxed geometry, from OQMD via LeMat-Bulk.

E_tot = -3.83 eV/atom
crystal system = hexagonal

abc: 5.0732 5.0732 6.1378
angles: 90.00 90.00 120.00
Space group P-6m2 (No. 187)
Asymmetric unit:
Li1 0.0000 0.0000 0.2197 [2 per cell]
La1 0.3333 0.6667 0.5000 [1 per cell]
Ni1 0.6667 0.3333 0.0000 [1 per cell]
Sn1 0.3333 0.6667 0.0000 [1 per cell]
Sn2 0.6667 0.3333 0.5000 [1 per cell]

***

[2]
The following is a PBE calculation of crystalline Sr2TaIrN2O4 at its relaxed geometry, from OQMD via LeMat-Bulk.

E_tot = -7.76 eV/atom
crystal system = triclinic
polymorph energy (0 for the lowest one) = 0.038 eV per atom

abc: 5.6299 5.6485 7.9802
angles: 89.98 89.86 89.84
Space group P1 (No. 1)
Asymmetric unit:
Sr1 0.0000 0.0000 0.0000 [1 per cell]
Sr2 0.0067 0.9997 0.5048 [1 per cell]
Sr3 0.4978 0.4858 0.9960 [1 per cell]
Sr4 0.5053 0.4839 0.5038 [1 per cell]
Ta1 0.0049 0.5121 0.7511 [1 per cell]
Ta2 0.5004 0.9896 0.2497 [1 per cell]
Ir1 0.0011 0.4911 0.2484 [1 per cell]
Ir2 0.5049 0.9770 0.7505 [1 per cell]
N1 0.2482 0.7532 0.7706 [1 per cell]
N2 0.2565 0.2557 0.2589 [1 per cell]
N3 0.7492 0.7240 0.2358 [1 per cell]
N4 0.7493 0.7464 0.7617 [1 per cell]
O1 0.0154 0.5281 0.4977 [1 per cell]
O2 0.2424 0.7510 0.2201 [1 per cell]
O3 0.2623 0.2511 0.7340 [1 per cell]
O4 0.4888 0.9508 0.4983 [1 per cell]
O5 0.5153 0.0279 0.9997 [1 per cell]
O6 0.7615 0.2286 0.2757 [1 per cell]
O7 0.7607 0.2397 0.7219 [1 per cell]
O8 0.9859 0.4424 0.9981 [1 per cell]

***

[3]
The following is a PBE calculation of crystalline BaDyAgSe2S at its relaxed geometry, from OQMD via LeMat-Bulk.

E_tot = -5.00 eV/atom
crystal system = orthorhombic

abc: 4.2428 14.1612 10.5409
angles: 90.00 90.00 90.00
Space group Cmcm (No. 63)
Asymmetric unit:
Ba1 0.0000 0.2410 0.2500 [4 per cell]
Dy1 0.0000 0.5000 0.0000 [4 per cell]
Ag1 0.0000 0.0294 0.7500 [4 per cell]
Se1 0.0000 0.1382 0.5482 [8 per cell]
S1 0.0000 0.4273 0.7500 [4 per cell]

***

[4]
The following is a PBE calculation of crystalline AcZr at its relaxed geometry, from OQMD via LeMat-Bulk.

energy relative to the elements = 0.2777 eV per atom
E_tot = -6.05 eV/atom
crystal system = orthorhombic
polymorph energy (0 for the lowest one) = 0.138 eV per atom

abc: 5.6268 7.1563 12.8288
angles: 90.00 90.00 90.00
Space group Pmmn (No. 59, origin choice 2)
Asymmetric unit:
Ac1 0.2500 0.0091 0.0910 [4 per cell]
Ac2 0.2500 0.2500 0.3480 [2 per cell]
Ac3 0.2500 0.2500 0.7951 [2 per cell]
Zr1 0.2500 0.0093 0.5737 [4 per cell]
Zr2 0.2500 0.7500 0.3799 [2 per cell]
Zr3 0.2500 0.7500 0.7995 [2 per cell]

***

[5]
The following is a PBE calculation of crystalline HfCoSiAg at its relaxed geometry, from OQMD via LeMat-Bulk.

E_tot = -6.42 eV/atom
crystal system = cubic
polymorph energy (0 for the lowest one) = 0.000 eV per atom

abc: 6.2437 6.2437 6.2437
angles: 90.00 90.00 90.00
Space group F-43m (No. 216)
Asymmetric unit:
Hf1 0.0000 0.0000 0.0000 [4 per cell]
Co1 0.2500 0.2500 0.7500 [4 per cell]
Si1 0.0000 0.0000 0.5000 [4 per cell]
Ag1 0.2500 0.2500 0.2500 [4 per cell]

***

[6]
The following is a PBE calculation of crystalline SrDy2Al2O7 at its relaxed geometry, from OQMD via LeMat-Bulk.

E_tot = -7.66 eV/atom
crystal system = tetragonal

abc: 3.6944 3.6944 19.4765
angles: 90.00 90.00 90.00
Space group I4/mmm (No. 139)
Asymmetric unit:
Sr1 0.0000 0.0000 0.0000 [2 per cell]
Dy1 0.0000 0.0000 0.1819 [4 per cell]
Al1 0.0000 0.0000 0.4035 [4 per cell]
O1 0.0000 0.0000 0.2951 [4 per cell]
O2 0.0000 0.0000 0.5000 [2 per cell]
O3 0.0000 0.5000 0.1060 [8 per cell]

***

[7]
The following is a PBE calculation of crystalline Er2Tm2InCu2Ge4 at its relaxed geometry, from OQMD via LeMat-Bulk.

E_tot = -4.92 eV/atom
crystal system = monoclinic

abc: 15.5018 4.2177 7.0665
angles: 90.00 108.29 90.00
Space group C2/m (No. 12)
Asymmetric unit:
Er1 0.0884 0.0000 0.3816 [4 per cell]
Tm1 0.1527 0.0000 0.9308 [4 per cell]
In1 0.0000 0.5000 0.0000 [2 per cell]
Cu1 0.2183 0.5000 0.6308 [4 per cell]
Ge1 0.0638 0.5000 0.6607 [4 per cell]
Ge2 0.1981 0.5000 0.2458 [4 per cell]

***

[8]
The following is a PBE calculation of crystalline YUGe at its relaxed geometry, from OQMD via LeMat-Bulk.

E_tot = -7.32 eV/atom
crystal system = cubic
polymorph energy (0 for the lowest one) = 0.000 eV per atom

abc: 6.8219 6.8219 6.8219
angles: 90.00 90.00 90.00
Space group F-43m (No. 216)
Asymmetric unit:
Y1 0.0000 0.0000 0.0000 [4 per cell]
U1 0.0000 0.0000 0.5000 [4 per cell]
Ge1 0.2500 0.2500 0.7500 [4 per cell]

***

[9]
The following is a PBE calculation of crystalline KFe4AsP2 at its relaxed geometry, from OQMD via LeMat-Bulk.

E_tot = -6.40 eV/atom
crystal system = trigonal

abc: 3.7409 3.7409 32.3772
angles: 90.00 90.00 120.00
Space group R-3m (No. 166, hexagonal axes)
Asymmetric unit:
K1 0.0000 0.0000 0.0000 [3 per cell]
Fe1 0.0000 0.0000 0.1913 [6 per cell]
Fe2 0.0000 0.0000 0.4262 [6 per cell]
As1 0.0000 0.0000 0.5000 [3 per cell]
P1 0.0000 0.0000 0.2582 [6 per cell]

***

[10]
The following is a PBE calculation of crystalline NbH8N2OF5 at its relaxed geometry, from OQMD via LeMat-Bulk.

E_tot = -5.52 eV/atom
crystal system = monoclinic

abc: 19.4593 5.7346 13.8181
angles: 90.00 134.55 90.00
Space group Cc (No. 9)
Asymmetric unit:
Nb1 0.0000 0.2490 0.0000 [4 per cell]
Nb2 0.2446 0.2491 0.4478 [4 per cell]
H1 0.0202 0.0800 0.6674 [4 per cell]
H2 0.0351 0.1641 0.3986 [4 per cell]
H3 0.0663 0.3506 0.7372 [4 per cell]
H4 0.1781 0.3504 0.7090 [4 per cell]
H5 0.2094 0.1621 0.0495 [4 per cell]
H6 0.2245 0.0806 0.7801 [4 per cell]
H7 0.2485 0.2235 0.2024 [4 per cell]
H8 0.2600 0.4232 0.1257 [4 per cell]
H9 0.2742 0.2559 0.7458 [4 per cell]
H10 0.2851 0.3246 0.8750 [4 per cell]
H11 0.3291 0.1864 0.1898 [4 per cell]
H12 0.4155 0.3126 0.7577 [4 per cell]
H13 0.4585 0.1770 0.0722 [4 per cell]
H14 0.4715 0.2453 0.2034 [4 per cell]
H15 0.4843 0.0752 0.8216 [4 per cell]
H16 0.4965 0.2755 0.7460 [4 per cell]
N1 0.0045 0.2523 0.6683 [4 per cell]
N2 0.2401 0.2531 0.7792 [4 per cell]
N3 0.2613 0.2461 0.1412 [4 per cell]
N4 0.4833 0.2526 0.8065 [4 per cell]
O1 0.0199 0.2243 0.1463 [4 per cell]
O2 0.2247 0.2230 0.3015 [4 per cell]
F1 0.0915 0.0091 0.0446 [4 per cell]
F2 0.0945 0.4943 0.0593 [4 per cell]
F3 0.1505 0.4958 0.3881 [4 per cell]
F4 0.1527 0.0107 0.4033 [4 per cell]
F5 0.2845 0.2830 0.6367 [4 per cell]
F6 0.3382 0.4931 0.0300 [4 per cell]
F7 0.3444 0.0107 0.5539 [4 per cell]
F8 0.4000 0.4887 0.3939 [4 per cell]
F9 0.4067 0.0075 0.9175 [4 per cell]
F10 0.4603 0.2185 0.3110 [4 per cell]

***

[11]
The following is a PBE calculation of crystalline PrZrSi2 at its relaxed geometry, from OQMD via LeMat-Bulk.

E_tot = -6.74 eV/atom
crystal system = orthorhombic
polymorph energy (0 for the lowest one) = 0.069 eV per atom

abc: 3.8468 5.7309 7.6769
angles: 90.00 90.00 90.00
Space group Pmc2_1 (No. 26)
Asymmetric unit:
Pr1 0.0000 0.1251 0.0000 [2 per cell]
Zr1 0.5000 0.3764 0.6401 [2 per cell]
Si1 0.0000 0.3952 0.3623 [2 per cell]
Si2 0.5000 0.1456 0.2894 [2 per cell]

***

[12]
The following is a PBE calculation of crystalline HoInHgSe3 at its relaxed geometry, from OQMD via LeMat-Bulk.

E_tot = -3.88 eV/atom
crystal system = orthorhombic

abc: 4.1932 14.4438 10.9921
angles: 90.00 90.00 90.00
Space group Cmcm (No. 63)
Asymmetric unit:
Ho1 0.0000 0.0000 0.0000 [4 per cell]
In1 0.0000 0.2534 0.2500 [4 per cell]
Hg1 0.0000 0.4544 0.7500 [4 per cell]
Se1 0.0000 0.0780 0.7500 [4 per cell]
Se2 0.0000 0.3651 0.5418 [8 per cell]

***

[13]
The following is a PBE calculation of crystalline UTcAg at its relaxed geometry, from OQMD via LeMat-Bulk.

energy relative to the elements = 1.0028 eV per atom
E_tot = -7.16 eV/atom
crystal system = cubic
polymorph energy (0 for the lowest one) = 0.000 eV per atom

abc: 6.4135 6.4135 6.4135
angles: 90.00 90.00 90.00
Space group F-43m (No. 216)
Asymmetric unit:
U1 0.0000 0.0000 0.0000 [4 per cell]
Tc1 0.2500 0.2500 0.2500 [4 per cell]
Ag1 0.2500 0.2500 0.7500 [4 per cell]

***

[14]
The following is a PBE calculation of crystalline RbLaPd at its relaxed geometry, from OQMD via LeMat-Bulk.

E_tot = -3.60 eV/atom
crystal system = cubic

abc: 7.4271 7.4271 7.4271
angles: 90.00 90.00 90.00
Space group F-43m (No. 216)
Asymmetric unit:
Rb1 0.0000 0.0000 0.0000 [4 per cell]
La1 0.0000 0.0000 0.5000 [4 per cell]
Pd1 0.2500 0.2500 0.7500 [4 per cell]

***

[15]
The following is a PBE calculation of crystalline DyHoCo2B2N2 at its relaxed geometry, from OQMD via LeMat-Bulk.

E_tot = -7.78 eV/atom
crystal system = tetragonal

abc: 3.4652 3.4652 7.4422
angles: 90.00 90.00 90.00
Space group P4mm (No. 99)
Asymmetric unit:
Dy1 0.0000 0.0000 0.0000 [1 per cell]
Ho1 0.5000 0.5000 0.3352 [1 per cell]
Co1 0.0000 0.5000 0.6676 [2 per cell]
B1 0.0000 0.0000 0.5164 [1 per cell]
B2 0.5000 0.5000 0.8192 [1 per cell]
N1 0.0000 0.0000 0.3138 [1 per cell]
N2 0.5000 0.5000 0.0221 [1 per cell]

***

[16]
The following is a PBE calculation of crystalline ZnCoNiPb at its relaxed geometry, from OQMD via LeMat-Bulk.

E_tot = -3.98 eV/atom
crystal system = cubic
polymorph energy (0 for the lowest one) = 0.224 eV per atom

abc: 6.1982 6.1982 6.1982
angles: 90.00 90.00 90.00
Space group F-43m (No. 216)
Asymmetric unit:
Zn1 0.0000 0.0000 0.0000 [4 per cell]
Co1 0.2500 0.2500 0.2500 [4 per cell]
Ni1 0.0000 0.0000 0.5000 [4 per cell]
Pb1 0.2500 0.2500 0.7500 [4 per cell]

***

[17]
The following is a PBE calculation of crystalline BaAgSn at its relaxed geometry, from OQMD via LeMat-Bulk.

E_tot = -3.44 eV/atom
crystal system = orthorhombic

abc: 5.1100 8.2189 8.7180
angles: 90.00 90.00 90.00
Space group Imm2 (No. 44)
Asymmetric unit:
Ba1 0.0000 0.0000 0.0000 [2 per cell]
Ba2 0.0000 0.5000 0.0762 [2 per cell]
Ag1 0.0000 0.2869 0.7029 [4 per cell]
Sn1 0.0000 0.1908 0.3694 [4 per cell]

***

[18]
The following is a PBE calculation of crystalline TbDyNi2Ge4 at its relaxed geometry, from OQMD via LeMat-Bulk.

E_tot = -5.57 eV/atom
crystal system = orthorhombic

abc: 4.1906 4.1199 16.6958
angles: 90.00 90.00 90.00
Space group Amm2 (No. 38)
Asymmetric unit:
Tb1 0.0000 0.0000 0.0000 [2 per cell]
Dy1 0.5000 0.0000 0.7841 [2 per cell]
Ni1 0.0000 0.0000 0.2134 [2 per cell]
Ni2 0.5000 0.0000 0.5711 [2 per cell]
Ge1 0.0000 0.0000 0.3511 [2 per cell]
Ge2 0.0000 0.0000 0.6414 [2 per cell]
Ge3 0.5000 0.0000 0.1433 [2 per cell]
Ge4 0.5000 0.0000 0.4331 [2 per cell]

***

[19]
The following is a PBE calculation of crystalline Sm2Ge5Ir3 at its relaxed geometry, from OQMD via LeMat-Bulk.

E_tot = -6.65 eV/atom
crystal system = orthorhombic

abc: 10.2841 11.8939 6.0740
angles: 90.00 90.00 90.00
Space group Ibam (No. 72)
Asymmetric unit:
Sm1 0.2271 0.1336 0.0000 [8 per cell]
Ge1 0.0000 0.0000 0.2500 [4 per cell]
Ge2 0.0000 0.2763 0.2500 [8 per cell]
Ge3 0.1616 0.4012 0.0000 [8 per cell]
Ir1 0.0000 0.5000 0.2500 [4 per cell]
Ir2 0.1101 0.1417 0.5000 [8 per cell]

***

[20]
The following is a PBE calculation of crystalline BaAgP at its relaxed geometry, from OQMD via LeMat-Bulk.

E_tot = -4.12 eV/atom
crystal system = hexagonal

abc: 4.5284 4.5284 9.0371
angles: 90.00 90.00 120.00
Space group P6_3/mmc (No. 194)
Asymmetric unit:
Ba1 0.0000 0.0000 0.0000 [2 per cell]
Ag1 0.3333 0.6667 0.2500 [2 per cell]
P1 0.3333 0.6667 0.7500 [2 per cell]

***

[21]
The following is a PBE calculation of crystalline RbAcDy at its relaxed geometry, from OQMD via LeMat-Bulk.

E_tot = -2.16 eV/atom
crystal system = cubic

abc: 8.8057 8.8057 8.8057
angles: 90.00 90.00 90.00
Space group F-43m (No. 216)
Asymmetric unit:
Rb1 0.0000 0.0000 0.0000 [4 per cell]
Ac1 0.0000 0.0000 0.5000 [4 per cell]
Dy1 0.2500 0.2500 0.7500 [4 per cell]